The following is a DFT calculation (PBE+U) of an optimized crystal structure of Ba2LiCo2O6.

The density is 4.86 g cm⁻³. The calculation puts the raw total energy at -5.749 eV/atom. The total magnetization comes out at 0.822 μB per atom.

Unit cell a=5.955 b=5.955 c=6.499 alpha=62.73 beta=62.73 gamma=60.00
Last column: magnetic moment on the atom in μB.
Fractional positions:
1 Ba 0.778 0.778 0.665  0.01
2 Ba 0.222 0.222 0.335  0.01
3 Li 0.000 0.000 0.000  0.02
4 Co 0.428 0.428 0.717  2.89
5 Co 0.572 0.572 0.283  2.89
6 O 0.751 0.751 0.251  0.44
7 O 0.246 0.751 0.251  0.44
8 O 0.751 0.246 0.251  0.44
9 O 0.249 0.754 0.749  0.44
10 O 0.754 0.249 0.749  0.44
11 O 0.249 0.249 0.749  0.44